Entry 1:
## Mg2ReRu (PBE)

Data for Mg2ReRu after structural relaxation.

Results
The calculated formation energy comes out at 610 meV per atom. As for the relative energy among the computed polymorphs: 0.598 eV/atom. Its magnetization is 2.3 μB/f.u.

```
Mg2ReRu
1.0
0.0000 3.1685 3.1685
3.1685 0.0000 3.1685
3.1685 3.1685 0.0000
Mg Re Ru
2 1 1
Direct
0.2500 0.2500 0.2500
0.7500 0.7500 0.7500
0.0000 0.0000 0.0000
0.5000 0.5000 0.5000
```

=====

Entry 2:
## AcNp2Te4 (PBE)

Data for AcNp2Te4 after structural relaxation.

Results
For the energy relative to the elements, uncorrected, the calculation gives -0.93 eV per atom. Its magnetization is 8.9 μB/f.u.

```
AcNp2Te4
1.0
2.2371 -7.2070 0.0000
2.2371 7.2070 0.0000
0.0000 0.0000 15.1955
Ac Np Te
2 4 8
Direct
0.1149 0.8851 0.7500
0.8851 0.1149 0.2500
0.3663 0.6337 0.5613
0.3663 0.6337 0.9387
0.6337 0.3663 0.0613
0.6337 0.3663 0.4387
0.0000 0.0000 0.0000
0.0000 0.0000 0.5000
0.2707 0.7293 0.1226
0.2707 0.7293 0.3774
0.4453 0.5547 0.7500
0.5547 0.4453 0.2500
0.7293 0.2707 0.6226
0.7293 0.2707 0.8774
```

=====

Entry 3:
## LiIO3 (PBE)

Data for LiIO3 after structural relaxation.

Results
For the energy relative to the elements, uncorrected, the calculation gives -0.55 eV per atom. Its magnetization is 0.0 μB/f.u.

```
LiIO3
1.0
4.0817 0.0000 0.0000
0.0000 4.0817 0.0000
0.0000 0.0000 4.0817
Li I O
1 1 3
Direct
0.0000 0.0000 0.0000
0.5000 0.5000 0.5000
0.0000 0.5000 0.5000
0.5000 0.0000 0.5000
0.5000 0.5000 0.0000
```

=====

Entry 4:
## Co3SnS (PBE)

Data for Co3SnS after structural relaxation.

Results
For the energy relative to the elements, uncorrected, the calculation gives 1.54 eV per atom. As for the relative energy among the computed polymorphs: 1.388 eV/atom. Its magnetization is 4.0 μB/f.u.

```
Co3SnS
1.0
4.7049 0.0000 0.0000
0.0000 4.7049 0.0000
0.0000 0.0000 4.7049
Co Sn S
3 1 1
Direct
0.0000 0.0000 0.5000
0.0000 0.5000 0.0000
0.5000 0.0000 0.0000
0.0000 0.0000 0.0000
0.5000 0.5000 0.5000
```

=====

no.,energy (eV/cell)
1,-22.47
2,-98.18
3,-21.10
4,-21.73